No. 1
Computed, not measured: crystalline Si2PRu at its relaxed geometry at the PBE level of DFT.

Properties
The calculation puts the formation energy from raw total energies at -0.132 eV/atom. The density of states at the Fermi level comes out at 3.23 states/eV per cell.

Unit cell a=4.2093 b=13.4502 c=4.2565 alpha=90.00 beta=90.00 gamma=90.00
Space group Cmcm (No. 63)
Inequivalent atoms, fractional coordinates:
Si: 0.0000 0.0424 0.2500 x4
Si: 0.0000 0.2442 0.2500 x4
P: 0.0000 0.4263 0.2500 x4
Ru: 0.0000 0.3569 0.7500 x4

---

No. 2
Computed, not measured: crystalline RbTeN2Cl at its relaxed geometry at the PBE level of DFT.

Properties
The calculation puts the formation energy from raw total energies at 1.641 eV/atom. The density of states at the Fermi level comes out at 2.25 states/eV per cell. For the energy above the most stable polymorph in this dataset, the calculation gives 0 meV/atom.

Unit cell a=5.7020 b=5.7020 c=5.3180 alpha=90.00 beta=90.00 gamma=90.00
Space group P4/mmm (No. 123)
Inequivalent atoms, fractional coordinates:
Rb: 0.0000 0.0000 0.0000 x1
Te: 0.5000 0.5000 0.0000 x1
N: 0.0000 0.5000 0.5000 x2
Cl: 0.5000 0.5000 0.5000 x1

---

No. 3
Computed, not measured: crystalline Rh2CN at its relaxed geometry at the PBE level of DFT.

Properties
The calculation puts the formation energy from raw total energies at 0.508 eV/atom. The density of states at the Fermi level comes out at 6.49 states/eV per cell. For the energy above the most stable polymorph in this dataset, the calculation gives 0 meV/atom.

Unit cell a=4.6026 b=4.6026 c=9.2505 alpha=90.00 beta=90.00 gamma=90.00
Space group I-42d (No. 122)
Inequivalent atoms, fractional coordinates:
Rh: 0.2408 0.2500 0.1250 x8
C: 0.0000 0.0000 0.0000 x4
N: 0.0000 0.0000 0.5000 x4

---

No. 4
Computed, not measured: crystalline Cs3BaAg at its relaxed geometry at the PBE level of DFT.

Properties
The density of states at the Fermi level comes out at 16.01 states/eV per cell. The formation energy is 0.681 eV per atom. For the energy above the most stable polymorph in this dataset, the calculation gives 494 meV/atom.

Unit cell a=8.2452 b=8.2452 c=8.2452 alpha=90.00 beta=90.00 gamma=90.00
Space group Pm-3m (No. 221)
Inequivalent atoms, fractional coordinates:
Cs: 0.0000 0.0000 0.5000 x3
Ba: 0.0000 0.0000 0.0000 x1
Ag: 0.5000 0.5000 0.5000 x1

---

No. 5
Computed, not measured: crystalline TmHfIn at its relaxed geometry at the PBE level of DFT.

Properties
The density of states at the Fermi level comes out at 5.09 states/eV per cell. The formation energy is -0.212 eV per atom. For the energy above the most stable polymorph in this dataset, the calculation gives 0 meV/atom.

Unit cell a=4.3617 b=4.3617 c=8.0786 alpha=90.00 beta=90.00 gamma=90.00
Space group P4/nmm (No. 129, origin choice 2)
Inequivalent atoms, fractional coordinates:
Tm: 0.2500 0.2500 0.1650 x2
Hf: 0.2500 0.7500 0.5000 x2
In: 0.2500 0.2500 0.7685 x2

---

No. 6
Computed, not measured: crystalline ZrPaRu2 at its relaxed geometry at the PBE level of DFT.

Properties
The density of states at the Fermi level comes out at 23.29 states/eV per cell. The formation energy is -0.426 eV per atom. For the energy above the most stable polymorph in this dataset, the calculation gives 49 meV/atom.

Unit cell a=6.7117 b=6.7117 c=6.7117 alpha=90.00 beta=90.00 gamma=90.00
Space group Fm-3m (No. 225)
Inequivalent atoms, fractional coordinates:
Zr: 0.0000 0.0000 0.0000 x4
Pa: 0.0000 0.0000 0.5000 x4
Ru: 0.2500 0.2500 0.2500 x8

---

Computed calculated total energy (eV for the cell shown) in order:
-104.25, -14.40, -120.89, -3.93, -35.60, -153.20